The following is a PBE calculation of a relaxed BeZnPd4 crystal, from the Alexandria database.

Structure (POSCAR):
```
BeZnPd4
1.0
6.916 0.000 0.000
0.000 2.865 0.000
0.000 0.000 16.721
Be Zn Pd
4 4 16
Direct
0.246 0.250 0.049
0.254 0.750 0.549
0.746 0.250 0.451
0.754 0.750 0.951
0.226 0.250 0.817
0.274 0.750 0.317
0.726 0.250 0.683
0.774 0.750 0.183
0.011 0.750 0.430
0.034 0.750 0.714
0.124 0.750 0.948
0.147 0.750 0.152
0.353 0.250 0.652
0.376 0.250 0.448
0.466 0.250 0.214
0.489 0.250 0.930
0.511 0.750 0.070
0.534 0.750 0.786
0.624 0.750 0.552
0.647 0.750 0.348
0.853 0.250 0.848
0.876 0.250 0.052
0.966 0.250 0.286
0.989 0.250 0.570
```

Output
The calculation puts the total energy at -4.7406 eV/atom. The energy above the lowest structure with this stoichiometry comes out at 0.000 eV per atom. Its density of states at the Fermi level is 7.7 states/eV per cell. The size of the total moment is 0.00 μB/f.u. The calculation puts the calculated formation energy at -0.445 eV/atom.